This record from the Alexandria database describes a relaxed Th2AlGe2 crystal. The functional is PBE-GGA.

Computed properties:
**Crystal system**: monoclinic
**Calculated formation energy**: -0.639 eV per atom

Lattice parameters (Å, degrees): 5.964 5.964 7.859 102.42 102.42 59.29
Positions (direct):
1 Th 0.017 0.276 0.147
2 Th 0.276 0.017 0.647
3 Th 0.724 0.983 0.353
4 Th 0.983 0.724 0.853
5 Al 0.325 0.675 0.250
6 Al 0.675 0.325 0.750
7 Ge 0.239 0.493 0.504
8 Ge 0.493 0.239 0.004
9 Ge 0.507 0.761 0.996
10 Ge 0.761 0.507 0.496

This record from the Alexandria database describes a relaxed K2YAg crystal. The functional is PBE-GGA.

Computed properties:
**Crystal system**: orthorhombic
**Energy relative to the lowest polymorph listed for this composition**: 110 kJ/mol of formula units
**Calculated formation energy**: 0.372 eV per atom

Lattice parameters (Å, degrees): 3.571 3.571 11.870 90.00 90.00 90.28
Positions (direct):
1 K 0.000 0.000 0.201
2 K 0.000 0.000 0.799
3 Y 0.500 0.500 0.500
4 Ag 0.500 0.500 0.000

This record from the Alexandria database describes a relaxed ReTc2Pt crystal. The functional is PBE-GGA.

Computed properties:
**Crystal system**: tetragonal
**Energy relative to the lowest polymorph listed for this composition**: 8 kJ/mol of formula units
**Calculated formation energy**: -0.084 eV per atom

Lattice parameters (Å, degrees): 4.735 4.735 4.735 130.97 130.97 71.87
Positions (direct):
1 Re 0.000 0.000 0.000
2 Tc 0.250 0.750 0.500
3 Tc 0.750 0.250 0.500
4 Pt 0.500 0.500 0.000

This record from the Alexandria database describes a relaxed HgGe2S2 crystal. The functional is PBE-GGA.

Computed properties:
**Crystal system**: tetragonal
**Raw formation energy**: -0.051 eV/atom
**Energy relative to the lowest polymorph listed for this composition**: 69 kJ/mol of formula units

Lattice parameters (Å, degrees): 6.771 6.771 6.771 140.18 140.18 57.59
Positions (direct):
1 Hg 0.000 0.000 0.000
2 Ge 0.343 0.343 0.000
3 Ge 0.657 0.657 0.000
4 S 0.250 0.750 0.500
5 S 0.750 0.250 0.500

This record from the Alexandria database describes a relaxed MnCr2Tc crystal. The functional is PBE-GGA.

Computed properties:
**Crystal system**: tetragonal
**Energy relative to the lowest polymorph listed for this composition**: 15 kJ/mol of formula units
**Calculated formation energy**: 0.092 eV per atom

Lattice parameters (Å, degrees): 4.120 4.120 2.977 90.00 90.00 90.00
Positions (direct):
1 Mn 0.000 0.000 0.000
2 Cr 0.000 0.500 0.500
3 Cr 0.500 0.000 0.500
4 Tc 0.500 0.500 0.000

This record from the Alexandria database describes a relaxed KLi2ZrF8 crystal. The functional is PBE-GGA.

Computed properties:
**Crystal system**: monoclinic
**Raw formation energy**: -3.006 eV/atom

Lattice parameters (Å, degrees): 5.001 5.001 7.632 99.01 99.01 79.07
Positions (direct):
1 K 0.000 0.000 0.000
2 Li 0.454 0.454 0.731
3 Li 0.546 0.546 0.269
4 Zr 0.000 0.000 0.500
5 F 0.191 0.755 0.297
6 F 0.245 0.809 0.703
7 F 0.266 0.266 0.524
8 F 0.371 0.371 0.958
9 F 0.629 0.629 0.042
10 F 0.734 0.734 0.476
11 F 0.755 0.191 0.297
12 F 0.809 0.245 0.703

This record from the Alexandria database describes a relaxed Tb3Nd2Tm6Pb crystal. The functional is PBE-GGA.

Computed properties:
**Crystal system**: monoclinic
**Calculated formation energy**: -0.066 eV per atom

Lattice parameters (Å, degrees): 6.072 6.072 11.672 95.00 95.00 120.03
Positions (direct):
1 Tb 0.000 0.000 0.000
2 Tb 0.333 0.667 0.000
3 Tb 0.667 0.333 0.000
4 Nd 0.166 0.834 0.500
5 Nd 0.834 0.166 0.500
6 Tm 0.090 0.417 0.250
7 Tm 0.256 0.256 0.751
8 Tm 0.417 0.090 0.250
9 Tm 0.583 0.910 0.750
10 Tm 0.744 0.744 0.249
11 Tm 0.910 0.583 0.750
12 Pb 0.500 0.500 0.500

This record from the Alexandria database describes a relaxed CuHg3H2Pd9 crystal. The functional is PBE-GGA.

Computed properties:
**Final energy**: -58.82 eV/cell
**Crystal system**: trigonal

Lattice parameters (Å, degrees): 5.731 5.731 8.158 90.00 90.00 120.00
Positions (direct):
1 Cu 0.000 0.000 0.000
2 Hg 0.000 0.000 0.500
3 Hg 0.333 0.667 0.130
4 Hg 0.667 0.333 0.870
5 H 0.333 0.667 0.624
6 H 0.667 0.333 0.376
7 Pd 0.000 0.500 0.500
8 Pd 0.172 0.343 0.786
9 Pd 0.172 0.828 0.786
10 Pd 0.343 0.172 0.214
11 Pd 0.500 0.000 0.500
12 Pd 0.500 0.500 0.500
13 Pd 0.657 0.828 0.786
14 Pd 0.828 0.172 0.214
15 Pd 0.828 0.657 0.214

This record from the Alexandria database describes a relaxed RbHfGa3 crystal. The functional is PBE-GGA.

Computed properties:
**Crystal system**: cubic
**Energy relative to the lowest polymorph listed for this composition**: 0 kJ/mol of formula units
**Calculated formation energy**: 0.257 eV per atom

Lattice parameters (Å, degrees): 5.395 5.395 5.395 90.00 90.00 90.00
Positions (direct):
1 Rb 0.000 0.000 0.000
2 Hf 0.500 0.500 0.500
3 Ga 0.000 0.500 0.500
4 Ga 0.500 0.000 0.500
5 Ga 0.500 0.500 0.000

This record from the Alexandria database describes a relaxed Ba2HoIn crystal. The functional is PBE-GGA.

Computed properties:
**Crystal system**: trigonal
**Calculated formation energy**: 0.225 eV per atom

Lattice parameters (Å, degrees): 13.077 13.077 13.077 16.88 16.88 16.88
Positions (direct):
1 Ba 0.094 0.094 0.094
2 Ba 0.906 0.906 0.906
3 Ho 0.000 0.000 0.000
4 In 0.500 0.500 0.500

This record from the Alexandria database describes a relaxed KMo2Os crystal. The functional is PBE-GGA.

Computed properties:
**Crystal system**: monoclinic
**Energy relative to the lowest polymorph listed for this composition**: 88 kJ/mol of formula units
**Calculated formation energy**: 1.001 eV per atom

Lattice parameters (Å, degrees): 5.062 5.062 6.483 97.85 97.85 34.53
Positions (direct):
1 K 0.000 0.000 0.000
2 Mo 0.214 0.214 0.630
3 Mo 0.786 0.786 0.370
4 Os 0.500 0.500 0.500

This record from the Alexandria database describes a relaxed Ce2Er5Sn4 crystal. The functional is PBE-GGA.

Computed properties:
**Crystal system**: monoclinic
**Calculated formation energy**: -0.198 eV per atom

Lattice parameters (Å, degrees): 13.146 13.146 7.454 91.20 91.20 14.98
Positions (direct):
1 Ce 0.095 0.095 0.211
2 Ce 0.905 0.905 0.789
3 Er 0.138 0.138 0.661
4 Er 0.236 0.236 0.296
5 Er 0.500 0.500 0.500
6 Er 0.764 0.764 0.704
7 Er 0.862 0.862 0.339
8 Sn 0.031 0.031 0.837
9 Sn 0.322 0.322 0.009
10 Sn 0.678 0.678 0.991
11 Sn 0.969 0.969 0.163

This record from the Alexandria database describes a relaxed La6CoSn2Pd crystal. The functional is PBE-GGA.

Computed properties:
**Crystal system**: monoclinic
**Calculated formation energy**: -0.437 eV per atom

Lattice parameters (Å, degrees): 7.637 7.637 7.746 119.38 119.38 90.22
Positions (direct):
1 La 0.235 0.235 0.000
2 La 0.238 0.762 0.000
3 La 0.251 0.251 0.504
4 La 0.749 0.749 0.496
5 La 0.762 0.238 0.000
6 La 0.765 0.765 0.000
7 Co 0.000 0.000 0.000
8 Sn 0.250 0.750 0.500
9 Sn 0.750 0.250 0.500
10 Pd 0.500 0.500 0.000

This record from the Alexandria database describes a relaxed RbTl2PbAu crystal. The functional is PBE-GGA.

Computed properties:
**Crystal system**: tetragonal
**Energy relative to the lowest polymorph listed for this composition**: 140 kJ/mol of formula units
**Calculated formation energy**: 0.162 eV per atom

Lattice parameters (Å, degrees): 5.577 5.577 6.138 90.00 90.00 90.00
Positions (direct):
1 Rb 0.000 0.000 0.000
2 Tl 0.000 0.500 0.500
3 Tl 0.500 0.000 0.500
4 Pb 0.500 0.500 0.000
5 Au 0.000 0.000 0.500

This record from the Alexandria database describes a relaxed La8CoIr3 crystal. The functional is PBE-GGA.

Computed properties:
**Crystal system**: monoclinic
**Calculated formation energy**: -0.490 eV per atom

Lattice parameters (Å, degrees): 7.928 7.928 7.908 114.83 114.83 64.97
Positions (direct):
1 La 0.241 0.753 0.759
2 La 0.242 0.242 0.248
3 La 0.247 0.759 0.241
4 La 0.255 0.255 0.747
5 La 0.745 0.745 0.253
6 La 0.753 0.241 0.759
7 La 0.758 0.758 0.752
8 La 0.759 0.247 0.241
9 Co 0.000 0.000 0.000
10 Ir 0.000 0.500 0.500
11 Ir 0.500 0.000 0.500
12 Ir 0.500 0.500 0.000

This record from the Alexandria database describes a relaxed BaCaRe2 crystal. The functional is PBE-GGA.

Computed properties:
**Crystal system**: cubic
**Energy relative to the lowest polymorph listed for this composition**: 364 kJ/mol of formula units
**Calculated formation energy**: 1.294 eV per atom

Lattice parameters (Å, degrees): 4.990 4.990 4.990 60.00 60.00 60.00
Positions (direct):
1 Ba 0.000 0.000 0.000
2 Ca 0.250 0.250 0.250
3 Re 0.500 0.500 0.500
4 Re 0.750 0.750 0.750

This record from the Alexandria database describes a relaxed Al2TlTe crystal. The functional is PBE-GGA.

Computed properties:
**Crystal system**: orthorhombic
**Raw formation energy**: 0.209 eV/atom
**Energy relative to the lowest polymorph listed for this composition**: 61 kJ/mol of formula units

Lattice parameters (Å, degrees): 3.069 5.746 5.826 90.00 90.00 90.00
Positions (direct):
1 Al 0.000 0.000 0.000
2 Al 0.500 0.500 0.000
3 Tl 0.000 0.000 0.500
4 Te 0.500 0.500 0.500

This record from the Alexandria database describes a relaxed Li3Tb2BeNi12 crystal. The functional is PBE-GGA.

Computed properties:
**Crystal system**: trigonal
**Calculated formation energy**: 0.112 eV per atom

Lattice parameters (Å, degrees): 8.940 8.940 8.940 38.39 38.39 38.39
Positions (direct):
1 Li 0.000 0.500 0.500
2 Li 0.500 0.000 0.500
3 Li 0.500 0.500 0.000
4 Tb 0.151 0.151 0.151
5 Tb 0.849 0.849 0.849
6 Be 0.500 0.500 0.500
7 Ni 0.080 0.080 0.683
8 Ni 0.080 0.683 0.080
9 Ni 0.155 0.576 0.576
10 Ni 0.317 0.920 0.920
11 Ni 0.424 0.424 0.845
12 Ni 0.424 0.845 0.424
13 Ni 0.576 0.155 0.576
14 Ni 0.576 0.576 0.155
15 Ni 0.683 0.080 0.080
16 Ni 0.845 0.424 0.424
17 Ni 0.920 0.317 0.920
18 Ni 0.920 0.920 0.317

This record from the Alexandria database describes a relaxed Pr2ErIn9 crystal. The functional is PBE-GGA.

Computed properties:
**Crystal system**: tetragonal
**Calculated formation energy**: -0.443 eV per atom

Lattice parameters (Å, degrees): 4.705 4.705 14.081 90.00 90.00 90.00
Positions (direct):
1 Pr 0.000 0.000 0.169
2 Pr 0.000 0.000 0.831
3 Er 0.000 0.000 0.500
4 In 0.000 0.500 0.000
5 In 0.000 0.500 0.339
6 In 0.000 0.500 0.661
7 In 0.500 0.000 0.000
8 In 0.500 0.000 0.339
9 In 0.500 0.000 0.661
10 In 0.500 0.500 0.167
11 In 0.500 0.500 0.500
12 In 0.500 0.500 0.833